1.
The following is a DFT calculation (PBE) of crystalline Ce2PaAu at its relaxed geometry.

## Properties
Distance to the lowest polymorph of the same formula   278 meV/atom
Volume   110.8 Å³ per cell
Magnetization   0.97 μB per cell
E_form   0.05 eV/atom

abc: 8.683 8.683 8.683
angles: 26.00 26.00 26.00
Element x y z (fractional)
Ce 0.000 0.000 0.000
Ce 0.170 0.170 0.170
Pa 0.442 0.442 0.442
Au 0.587 0.587 0.587

=====

2.
The following is a DFT calculation (PBE) of crystalline CdSi2Sn at its relaxed geometry.

## Properties
Formation energy from raw total energies   12.1 kcal/mol of atoms
Distance to the lowest polymorph of the same formula   52 meV/atom
Volume   83.4 Å³ per cell
Magnetization   0.00 μB per cell

abc: 4.904 4.904 4.904
angles: 60.00 60.00 60.00
Element x y z (fractional)
Cd 0.000 0.000 0.000
Si 0.250 0.250 0.250
Si 0.750 0.750 0.750
Sn 0.500 0.500 0.500